[1]
Computed, not measured: a relaxed structure of BaYSbI2 at the GGA-PBEsol level of DFT.

Values from the calculation:
M_tot	0.000	μB/atom
formation energy (no corrections)	-1036	meV/atom

Cell: 5.817 5.817 5.944 Å, 90.00 90.00 90.00°
Space group P4/mmm (No. 123)
One atom of each set of equivalent atoms:
Ba (0.000, 0.000, 0.000) x1
Y (0.500, 0.500, 0.500) x1
Sb (0.500, 0.500, 0.000) x1
I (0.000, 0.500, 0.500) x2

---

[2]
Computed, not measured: a relaxed structure of BaSc2I at the GGA-PBEsol level of DFT.

Values from the calculation:
M_tot	0.000	μB/atom
formation energy (no corrections)	263	meV/atom

Cell: 7.535 7.535 7.535 Å, 90.00 90.00 90.00°
Space group Fm-3m (No. 225)
One atom of each set of equivalent atoms:
Ba (0.000, 0.000, 0.000) x4
Sc (0.250, 0.250, 0.250) x8
I (0.000, 0.000, 0.500) x4

---

[3]
Computed, not measured: a relaxed structure of Ba3ScI at the GGA-PBEsol level of DFT.

Values from the calculation:
M_tot	0.001	μB/atom
formation energy (no corrections)	184	meV/atom

Cell: 6.226 6.226 6.226 Å, 90.00 90.00 90.00°
Space group Pm-3m (No. 221)
One atom of each set of equivalent atoms:
Ba (0.000, 0.000, 0.500) x3
Sc (0.000, 0.000, 0.000) x1
I (0.500, 0.500, 0.500) x1

---

[4]
Computed, not measured: a relaxed structure of BaSiI3 at the GGA-PBEsol level of DFT.

Values from the calculation:
M_tot	0.200	μB/atom
formation energy (no corrections)	-67	meV/atom

Cell: 6.542 6.542 6.542 Å, 90.00 90.00 90.00°
Space group Pm-3m (No. 221)
One atom of each set of equivalent atoms:
Ba (0.000, 0.000, 0.000) x1
Si (0.500, 0.500, 0.500) x1
I (0.000, 0.000, 0.500) x3